1.
The following is a PBE-GGA calculation of a geometry-optimized NdYSn structure, from Alexandria.

Cell lengths 4.6273, 4.6273, 8.6598 Å; angles 90.00, 90.00, 90.00 degrees
Last column: nearest neighbours and their distance in Å.
Positions (direct):
Nd: 0.0000 0.5000 0.8495  5 Sn 3.29-3.34
Nd: 0.5000 0.0000 0.1505  5 Sn 3.29-3.34
Y: 0.5000 0.5000 0.5000  4 Y 3.27, 4 Sn 3.29
Y: 0.0000 0.0000 0.5000  4 Y 3.27, 4 Sn 3.29
Sn: 0.0000 0.5000 0.2296  4 Y 3.29, 5 Nd 3.29-3.34
Sn: 0.5000 0.0000 0.7704  4 Y 3.29, 5 Nd 3.29-3.34

ΔE_f = -0.602 eV per atom

---

2.
The following is a PBE-GGA calculation of a geometry-optimized NaSmSnPt structure, from Alexandria.

Cell lengths 4.9297, 4.9297, 4.9297 Å; angles 60.00, 60.00, 60.00 degrees
Last column: nearest neighbours and their distance in Å.
Positions (direct):
Na: 0.2500 0.2500 0.2500  4 Sm 3.02, 4 Sn 3.02
Sm: 0.0000 0.0000 0.0000  4 Pt 3.02, 4 Na 3.02
Pt: 0.7500 0.7500 0.7500  4 Sm 3.02, 4 Sn 3.02
Sn: 0.5000 0.5000 0.5000  4 Na 3.02, 4 Pt 3.02

ΔE_f = -0.687 eV per atom

---

3.
The following is a PBE-GGA calculation of a geometry-optimized Dy5GaNi2 structure, from Alexandria.

Cell lengths 7.5963, 7.5963, 8.4341 Å; angles 116.76, 116.76, 90.00 degrees
Last column: nearest neighbours and their distance in Å.
Positions (direct):
Dy: 0.5218 0.6989 0.7208  3 Ni 2.85-2.92, 2 Ga 3.19
Dy: 0.8011 0.9782 0.2792  3 Ni 2.85-2.92, 2 Ga 3.19
Dy: 0.0000 0.0000 0.0000  4 Ni 3.00, 2 Ga 3.25
Dy: 0.5000 0.5000 0.0000  4 Ni 3.00, 2 Ga 3.25
Dy: 0.1989 0.0218 0.7208  3 Ni 2.85-2.92, 2 Ga 3.19
Dy: 0.6989 0.1989 0.7208  3 Ni 2.85-2.92, 2 Ga 3.19
Dy: 0.0218 0.5218 0.7208  3 Ni 2.85-2.92, 2 Ga 3.19
Dy: 0.3011 0.8011 0.2792  3 Ni 2.85-2.92, 2 Ga 3.19
Dy: 0.9782 0.4782 0.2792  3 Ni 2.85-2.92, 2 Ga 3.19
Dy: 0.4782 0.3011 0.2792  3 Ni 2.85-2.92, 2 Ga 3.19
Ga: 0.7500 0.7500 0.5000  10 Dy 3.19-3.25
Ga: 0.2500 0.2500 0.5000  10 Dy 3.19-3.25
Ni: 0.1259 0.3741 0.0000  1 Ni 2.70, 8 Dy 2.85-3.00
Ni: 0.6259 0.1259 0.0000  1 Ni 2.70, 8 Dy 2.85-3.00
Ni: 0.3741 0.8741 0.0000  1 Ni 2.70, 8 Dy 2.85-3.00
Ni: 0.8741 0.6259 0.0000  1 Ni 2.70, 8 Dy 2.85-3.00

ΔE_f = -0.385 eV per atom